--- i ---
Below is a relaxed TlGaW crystal, with properties calculated at the GGA-PBE level.

POSCAR file:
```
TlGaW
1.0
1.8509 -4.1322 0.6849
-2.4068 -3.2626 2.1291
-1.5366 -3.6157 -2.3529
Ga Tl W
1 1 1
Cartesian
-0.5231 -2.7526 0.1153
-1.5694 -8.2579 0.3458
0.0000 0.0000 0.0000
```

Space-group type   No. 216
Total magnetization   1.91 μB/f.u.



--- ii ---
Below is a relaxed TlGaW crystal, with properties calculated at the GGA-PBE level.

POSCAR file:
```
TlGaW
1.0
0.0000 3.1571 3.1571
3.1571 0.0000 3.1571
3.1571 3.1571 0.0000
W Ga Tl
1 1 1
Cartesian
4.7356 4.7356 4.7356
0.0000 0.0000 0.0000
1.5785 1.5785 1.5785
```

Space-group type   No. 216
Total magnetization   1.81 μB/f.u.



Which of them is the least stable? Correct choice: ii.



--- i ---
Below is a relaxed ZrTlGa crystal, with properties calculated at the GGA-PBE level.

POSCAR file:
```
ZrTlGa
1.0
3.9757 -0.3346 -2.6066
2.6745 -3.9380 0.2279
0.1709 -2.9826 -3.7132
Ga Zr Tl
1 1 1
Cartesian
1.7053 -1.8138 -1.5230
0.0000 0.0000 0.0000
5.1159 -5.4414 -4.5690
```

Space-group type   No. 216
Total magnetization   0.00 μB/f.u.



--- ii ---
Below is a relaxed ZrTlGa crystal, with properties calculated at the GGA-PBE level.

POSCAR file:
```
ZrTlGa
1.0
0.0000 3.2709 3.2709
3.2709 0.0000 3.2709
3.2709 3.2709 0.0000
Zr Tl Ga
1 1 1
Cartesian
4.9063 4.9063 4.9063
1.6354 1.6354 1.6354
0.0000 0.0000 0.0000
```

Space-group type   No. 216
Total magnetization   0.01 μB/f.u.



Which of them is the least stable? Correct choice: i.



--- i ---
Below is a relaxed GaW2 crystal, with properties calculated at the GGA-PBE level.

POSCAR file:
```
GaW2
1.0
-4.0406 -6.3726 -2.9039
1.2250 -7.3430 3.1542
-5.7691 -3.5005 4.4536
Ga W
2 4
Cartesian
-2.1462 -4.3040 1.1760
-4.2924 -8.6081 2.3520
-3.2193 -6.4560 1.7640
-5.2396 -9.6423 0.3120
-2.6068 -10.1275 3.3411
-6.1038 -8.2063 3.9908
```

Space-group type   No. 227
Total magnetization   7.23 μB/f.u.



--- ii ---
Below is a relaxed GaW2 crystal, with properties calculated at the GGA-PBE level.

POSCAR file:
```
GaW2
1.0
0.0000 3.7426 3.7426
3.7426 0.0000 3.7426
3.7426 3.7426 0.0000
W Ga
4 2
Cartesian
4.6782 4.6782 4.6782
2.8069 2.8069 4.6782
4.6782 2.8069 2.8069
2.8069 4.6782 2.8069
1.8713 1.8713 1.8713
0.0000 0.0000 0.0000
```

Space-group type   No. 227
Total magnetization   0.00 μB/f.u.



Which of them is the least stable? Correct choice: i.



--- i ---
Below is a relaxed YZrGa crystal, with properties calculated at the GGA-PBE level.

POSCAR file:
```
YZrGa
1.0
0.0000 3.4228 3.4228
3.4228 0.0000 3.4228
3.4228 3.4228 0.0000
Ga Y Zr
1 1 1
Cartesian
1.7114 1.7114 1.7114
5.1342 5.1342 5.1342
0.0000 0.0000 0.0000
```

Space-group type   No. 216
Total magnetization   1.95 μB/f.u.



--- ii ---
Below is a relaxed YZrGa crystal, with properties calculated at the GGA-PBE level.

POSCAR file:
```
YZrGa
1.0
-2.1141 2.1141 7.9747
2.1141 -2.1141 7.9747
2.1141 2.1141 -7.9747
Zr Y Ga
2 2 2
Cartesian
0.0000 2.1141 0.0000
2.1141 0.0000 0.0000
0.0000 0.0000 13.1236
0.0000 0.0000 2.8258
0.0000 0.0000 5.9210
0.0000 0.0000 10.0283
```

Space-group type   No. 139
Total magnetization   0.01 μB/f.u.



Which of them is the least stable? Correct choice: i.



--- i ---
Below is a relaxed ZnGa4 crystal, with properties calculated at the GGA-PBE level.

POSCAR file:
```
ZnGa4
1.0
-2.9376 2.9376 2.9376
2.9376 -2.9376 2.9376
2.9376 2.9376 -2.9376
Ga Zn
4 1
Cartesian
1.4688 1.4688 -1.4688
-1.4688 1.4688 1.4688
1.4688 -1.4688 1.4688
1.4688 1.4688 1.4688
0.0000 0.0000 0.0000
```

Space-group type   No. 229



--- ii ---
Below is a relaxed ZnGa4 crystal, with properties calculated at the GGA-PBE level.

POSCAR file:
```
ZnGa4
1.0
5.4079 0.0000 0.0000
0.0000 5.4079 0.0000
0.0000 0.0000 6.2669
Ga Zn
8 2
Cartesian
4.9182 1.4324 2.1902
1.4324 0.4897 4.0767
3.9755 4.9182 4.0767
2.2143 1.2715 0.9432
4.1364 2.2143 5.3237
3.1936 4.1364 0.9432
0.4897 3.9755 2.1902
1.2715 3.1936 5.3237
0.0000 0.0000 0.0000
2.7040 2.7040 3.1335
```

Space-group type   No. 114



Which of them is the least stable? Correct choice: i.



--- i ---
Below is a relaxed Gd2Ge crystal, with properties calculated at the GGA-PBE level.

POSCAR file:
```
Gd2Ge
1.0
0.0000 3.4888 3.4888
3.4888 0.0000 3.4888
3.4888 3.4888 0.0000
Gd Ge
2 1
Cartesian
5.2332 5.2332 5.2332
1.7444 1.7444 1.7444
0.0000 0.0000 0.0000
```

Space-group type   No. 225
Total magnetization   0.02 μB/f.u.



--- ii ---
Below is a relaxed Gd2Ge crystal, with properties calculated at the GGA-PBE level.

POSCAR file:
```
Gd2Ge
1.0
8.0191 0.0000 0.0000
-4.0095 6.9447 0.0000
0.0000 0.0000 4.2238
Gd Ge
6 3
Cartesian
-2.9424 5.0963 0.0000
2.3853 4.1314 2.1119
5.8848 0.0000 0.0000
1.0672 1.8483 0.0000
-1.6242 2.8133 2.1119
3.2485 0.0000 2.1119
0.0000 0.0000 2.1119
4.0095 2.3149 0.0000
0.0000 4.6298 0.0000
```

Space-group type   No. 189
Total magnetization   0.46 μB/f.u.



--- iii ---
Below is a relaxed Gd2Ge crystal, with properties calculated at the GGA-PBE level.

POSCAR file:
```
Gd2Ge
1.0
-2.0816 -5.7564 -2.8432
2.0408 1.2197 -3.9637
8.3270 -4.4522 2.9175
Ge Gd
4 8
Cartesian
4.1883 -1.9337 -2.4809
1.1305 -3.7335 -4.6091
4.0979 -7.0552 -1.4085
7.1557 -5.2554 0.7197
7.2366 -2.5604 -1.1042
1.0497 -6.4284 -2.7851
1.2691 -3.1110 -1.6514
6.6703 -8.7391 -0.6022
1.6159 -0.2498 -3.2872
3.8899 -4.9003 -3.5474
4.3963 -4.0885 -0.3420
7.0172 -5.8778 -2.2380
```

Space-group type   No. 62
Total magnetization   0.00 μB/f.u.



--- iv ---
Below is a relaxed Gd2Ge crystal, with properties calculated at the GGA-PBE level.

POSCAR file:
```
Gd2Ge
1.0
-1.0407 -4.6167 -3.8994
-5.7538 -1.6211 -1.3667
-2.2666 1.1517 -5.5801
Gd Ge
4 2
Cartesian
-2.7863 -2.3682 -6.0955
-4.5299 -3.7546 -3.9888
-5.6632 -3.1788 -6.7788
-5.1428 -0.8704 -4.8291
-2.2653 -1.2715 -2.7115
0.0000 0.0000 0.0000
```

Space-group type   No. 227
Total magnetization   0.00 μB/f.u.



Which of them is the least stable? Correct choice: iv.